No. 1
Here is a relaxed structure of RbPC2O8 from Alexandria. Energies are from PBE-GGA.

Summary:
Calculated density in g cm⁻³: 3.22
N(E_F) in states/eV/cell: 6.756
Total energy in eV/atom: -6.44
Total moment in μB per formula unit: 1.1
Crystal system: monoclinic

abc: 4.327 4.327 8.196
angles: 94.64 94.64 65.18
Positions (direct):
Rb 0.000 0.000 0.000
P 0.000 0.000 0.500
C 0.368 0.368 0.665
C 0.632 0.632 0.335
O 0.233 0.233 0.532
O 0.245 0.734 0.651
O 0.266 0.755 0.349
O 0.320 0.320 0.814
O 0.680 0.680 0.186
O 0.734 0.245 0.651
O 0.755 0.266 0.349
O 0.767 0.767 0.468



No. 2
Here is a relaxed structure of La3DySb4 from Alexandria. Energies are from PBE-GGA.

Summary:
Calculated density in g cm⁻³: 6.57
N(E_F) in states/eV/cell: 2.116
Total energy in eV/atom: -5.72
Total moment in μB per formula unit: 0.0
Crystal system: monoclinic

abc: 7.907 9.145 7.913
angles: 90.00 109.51 90.00
Positions (direct):
La 0.000 0.124 0.250
La 0.000 0.373 0.750
La 0.000 0.627 0.250
La 0.000 0.876 0.750
La 0.500 0.374 0.250
La 0.500 0.626 0.750
Dy 0.500 0.124 0.750
Dy 0.500 0.876 0.250
Sb 0.254 0.370 0.505
Sb 0.254 0.630 0.005
Sb 0.259 0.120 0.000
Sb 0.259 0.880 0.500
Sb 0.741 0.120 0.500
Sb 0.741 0.880 0.000
Sb 0.746 0.370 0.995
Sb 0.746 0.630 0.495



No. 3
Here is a relaxed structure of KSn2Cl from Alexandria. Energies are from PBE-GGA.

Summary:
Calculated density in g cm⁻³: 4.18
E above lowest polymorph in meV/atom: 749
N(E_F) in states/eV/cell: 3.071
Total moment in μB per formula unit: 0.0
Crystal system: cubic

abc: 5.596 5.596 5.596
angles: 60.00 60.00 60.00
Positions (direct):
K 0.000 0.000 0.000
Sn 0.250 0.250 0.250
Sn 0.750 0.750 0.750
Cl 0.500 0.500 0.500



No. 4
Here is a relaxed structure of Tl2FeSb from Alexandria. Energies are from PBE-GGA.

Summary:
Calculated density in g cm⁻³: 10.21
E above lowest polymorph in meV/atom: 249
N(E_F) in states/eV/cell: 2.956
Total moment in μB per formula unit: 2.8
Crystal system: orthorhombic

abc: 3.275 3.275 9.082
angles: 90.00 90.00 101.65
Positions (direct):
Tl 0.000 0.000 0.209
Tl 0.000 0.000 0.791
Fe 0.500 0.500 0.000
Sb 0.500 0.500 0.500



No. 5
Here is a relaxed structure of TbAsClO4 from Alexandria. Energies are from PBE-GGA.

Summary:
Calculated density in g cm⁻³: 4.46
N(E_F) in states/eV/cell: 0.000
Total energy in eV/atom: -6.34
Total moment in μB per formula unit: 0.0
Crystal system: monoclinic

abc: 6.482 6.482 6.846
angles: 100.61 100.61 62.09
Positions (direct):
Tb 0.209 0.209 0.343
Tb 0.791 0.791 0.657
As 0.147 0.147 0.780
As 0.853 0.853 0.220
Cl 0.474 0.474 0.630
Cl 0.526 0.526 0.370
O 0.003 0.388 0.644
O 0.009 0.009 0.251
O 0.221 0.221 0.023
O 0.388 0.003 0.644
O 0.612 0.997 0.356
O 0.779 0.779 0.977
O 0.991 0.991 0.749
O 0.997 0.612 0.356



No. 6
Here is a relaxed structure of RbMnAg2Br6 from Alexandria. Energies are from PBE-GGA.

Summary:
Calculated density in g cm⁻³: 4.14
N(E_F) in states/eV/cell: 2.488
Total energy in eV/atom: -3.33
Total moment in μB per formula unit: 4.0
Crystal system: triclinic

abc: 7.123 7.159 7.440
angles: 72.44 70.76 74.39
Positions (direct):
Rb 0.000 0.000 0.000
Mn 0.798 0.326 0.441
Ag 0.419 0.889 0.349
Ag 0.760 0.654 0.823
Br 0.011 0.408 0.597
Br 0.506 0.558 0.612
Br 0.509 0.953 0.963
Br 0.567 0.229 0.321
Br 0.987 0.489 0.101
Br 0.997 0.972 0.496



No. 7
Here is a relaxed structure of Sc4GaCo2Ni from Alexandria. Energies are from PBE-GGA.

Summary:
Calculated density in g cm⁻³: 5.38
N(E_F) in states/eV/cell: 5.249
ΔE_f in eV per atom: -0.437
Total moment in μB per formula unit: 1.3
Crystal system: trigonal

abc: 7.857 7.857 7.857
angles: 33.48 33.48 33.48
Positions (direct):
Sc 0.121 0.121 0.121
Sc 0.372 0.372 0.372
Sc 0.628 0.628 0.628
Sc 0.879 0.879 0.879
Ga 0.500 0.500 0.500
Co 0.248 0.248 0.248
Co 0.752 0.752 0.752
Ni 0.000 0.000 0.000



No. 8
Here is a relaxed structure of LaVFe2 from Alexandria. Energies are from PBE-GGA.

Summary:
Calculated density in g cm⁻³: 7.44
N(E_F) in states/eV/cell: 3.125
ΔE_f in eV per atom: 0.412
Total moment in μB per formula unit: 1.0
Crystal system: cubic

abc: 4.566 4.566 4.566
angles: 60.00 60.00 60.00
Positions (direct):
La 0.000 0.000 0.000
V 0.500 0.500 0.500
Fe 0.250 0.250 0.250
Fe 0.750 0.750 0.750



No. 9
Here is a relaxed structure of PmBi2Pd7 from Alexandria. Energies are from PBE-GGA.

Summary:
Calculated density in g cm⁻³: 10.74
E above lowest polymorph in meV/atom: 0
N(E_F) in states/eV/cell: 3.123
ΔE_f in eV per atom: -0.419
Total moment in μB per formula unit: 0.0
Crystal system: tetragonal

abc: 12.284 12.284 12.284
angles: 160.71 160.71 27.41
Positions (direct):
Pm 0.000 0.000 0.000
Bi 0.331 0.331 0.000
Bi 0.669 0.669 0.000
Pd 0.090 0.590 0.500
Pd 0.250 0.750 0.500
Pd 0.410 0.910 0.500
Pd 0.500 0.500 0.000
Pd 0.590 0.090 0.500
Pd 0.750 0.250 0.500
Pd 0.910 0.410 0.500



No. 10
Here is a relaxed structure of BaFeRu from Alexandria. Energies are from PBE-GGA.

Summary:
Calculated density in g cm⁻³: 7.27
E above lowest polymorph in meV/atom: 233
N(E_F) in states/eV/cell: 3.114
ΔE_f in eV per atom: 0.564
Total moment in μB per formula unit: 3.1
Crystal system: tetragonal

abc: 6.286 6.286 6.286
angles: 148.60 148.60 45.00
Positions (direct):
Ba 0.000 0.000 0.000
Fe 0.277 0.277 0.000
Ru 0.719 0.719 0.000



No. 11
Here is a relaxed structure of Sm6HoTh2 from Alexandria. Energies are from PBE-GGA.

Summary:
Calculated density in g cm⁻³: 8.46
N(E_F) in states/eV/cell: 16.899
ΔE_f in eV per atom: 0.071
Total moment in μB per formula unit: 0.0
Crystal system: hexagonal

abc: 3.600 3.600 26.792
angles: 90.00 90.00 120.00
Positions (direct):
Sm 0.000 0.000 0.064
Sm 0.000 0.000 0.281
Sm 0.000 0.000 0.719
Sm 0.000 0.000 0.936
Sm 0.333 0.667 0.393
Sm 0.333 0.667 0.607
Ho 0.000 0.000 0.500
Th 0.333 0.667 0.171
Th 0.333 0.667 0.829



No. 12
Here is a relaxed structure of CaHg2Rh from Alexandria. Energies are from PBE-GGA.

Summary:
Calculated density in g cm⁻³: 9.97
N(E_F) in states/eV/cell: 3.970
ΔE_f in eV per atom: -0.279
Total moment in μB per formula unit: 0.0
Crystal system: triclinic

abc: 4.937 6.254 6.587
angles: 102.97 90.03 113.15
Positions (direct):
Ca 0.000 0.000 0.000
Ca 0.280 0.561 0.412
Hg 0.328 0.658 0.958
Hg 0.698 0.395 0.083
Hg 0.733 0.466 0.659
Hg 0.994 0.987 0.500
Rh 0.500 0.999 0.720
Rh 0.534 0.068 0.319



Question: Look up the total moment of the sixth one.
Answer: 4.0 μB per formula unit



Question: Look up the N(E_F) of the twelfth one.
Answer: 3.970 states/eV/cell



Question: calculated density of number 9 (PmBi2Pd7)?
Answer: 10.74 g cm⁻³